Entry from Alexandria via LeMat-Bulk: an optimized crystal structure of Tl3TeCl (GGA-PBE).

The value obtained for the formation energy without anion corrections is -0.542 eV per atom.

The space group is P-1 (No. 2) and the conventional cell measures 4.689, 7.143 and 11.752 Å, with angles of 77.63, 78.53 and 71.28 degrees. The distinct sites, in fractional coordinates, are Tl at (0.026, 0.189, 0.263), Tl at (0.170, 0.284, 0.885), Tl at (0.381, 0.254, 0.488), Te at (0.229, 0.707, 0.331) and Cl at (0.382, 0.827, 0.907).

***

Entry from Alexandria via LeMat-Bulk: an optimized crystal structure of Tl2Te2Cl (GGA-PBE).

For the density of states at the Fermi level, the calculation gives 3.59 states/eV/f.u. The value obtained for the formation energy without anion corrections is -0.132 eV per atom.

The space group is P4/mbm (No. 127) and the conventional cell measures 8.640, 8.640 and 4.126 Å, with angles of 90.00, 90.00 and 90.00 degrees. The distinct sites, in fractional coordinates, are Tl at (0.153, 0.347, 0.000), Te at (0.153, 0.653, 0.500) and Cl at (0.000, 0.000, 0.500).

***

Entry from Alexandria via LeMat-Bulk: an optimized crystal structure of Tl2TeCl (GGA-PBE).

For the density of states at the Fermi level, the calculation gives 1.27 states/eV/f.u. The value obtained for the formation energy without anion corrections is -0.548 eV per atom.

The space group is P4mm (No. 99) and the conventional cell measures 4.463, 4.463 and 7.207 Å, with angles of 90.00, 90.00 and 90.00 degrees. The distinct sites, in fractional coordinates, are Tl at (0.000, 0.000, 0.000), Tl at (0.500, 0.500, 0.458), Te at (0.500, 0.500, 0.959) and Cl at (0.000, 0.000, 0.408).

***

Entry from Alexandria via LeMat-Bulk: an optimized crystal structure of Tl2TeCl (GGA-PBE).

For the density of states at the Fermi level, the calculation gives 0.70 states/eV/f.u. The value obtained for the formation energy without anion corrections is -0.548 eV per atom.

The space group is Cm (No. 8) and the conventional cell measures 13.778, 4.318 and 4.569 Å, with angles of 90.00, 90.04 and 90.00 degrees. The distinct sites, in fractional coordinates, are Tl at (0.000, 0.000, 0.000), Tl at (0.244, 0.500, 0.501), Te at (0.479, 0.000, 0.500) and Cl at (0.208, 0.000, 0.001).

***

Entry from Alexandria via LeMat-Bulk: an optimized crystal structure of TlTeCl3 (GGA-PBE).

The value obtained for the formation energy without anion corrections is -0.644 eV per atom.

The space group is P1 (No. 1) and the conventional cell measures 4.782, 8.884 and 9.170 Å, with angles of 104.07, 101.84 and 102.65 degrees. The distinct sites, in fractional coordinates, are Tl at (0.000, 0.000, 0.000), Tl at (0.026, 0.457, 0.604), Te at (0.435, 0.899, 0.475), Te at (0.589, 0.558, 0.129), Cl at (0.348, 0.885, 0.735), Cl at (0.384, 0.176, 0.503), Cl at (0.500, 0.582, 0.422), Cl at (0.523, 0.875, 0.182), Cl at (0.641, 0.281, 0.103) and Cl at (0.677, 0.571, 0.869).

***

Entry from Alexandria via LeMat-Bulk: an optimized crystal structure of Tl2TeCl6 (GGA-PBE).

For the density of states at the Fermi level, the calculation gives 0.00 states/eV/f.u. The value obtained for the formation energy without anion corrections is -0.809 eV per atom.

The space group is C2/m (No. 12) and the conventional cell measures 12.656, 7.329 and 6.296 Å, with angles of 90.00, 91.03 and 90.00 degrees. The distinct sites, in fractional coordinates, are Tl at (0.169, 0.000, 0.174), Te at (0.000, 0.500, 0.000), Cl at (0.083, 0.249, 0.774) and Cl at (0.169, 0.500, 0.231).

***

Entry from Alexandria via LeMat-Bulk: an optimized crystal structure of Tl2TeCl (GGA-PBE).

For the density of states at the Fermi level, the calculation gives 0.93 states/eV/f.u. The value obtained for the formation energy without anion corrections is -0.555 eV per atom.

The space group is P2_1/m (No. 11) and the conventional cell measures 6.528, 5.762 and 7.628 Å, with angles of 90.00, 102.06 and 90.00 degrees. The distinct sites, in fractional coordinates, are Tl at (0.021, 0.250, 0.288), Tl at (0.390, 0.750, 0.121), Te at (0.455, 0.750, 0.547) and Cl at (0.130, 0.250, 0.887).

***

Entry from Alexandria via LeMat-Bulk: an optimized crystal structure of Tl7Te3Cl (GGA-PBE).

For the density of states at the Fermi level, the calculation gives 0.13 states/eV/f.u. The value obtained for the formation energy without anion corrections is -0.350 eV per atom.

The space group is Cmcm (No. 63) and the conventional cell measures 15.435, 12.039 and 9.879 Å, with angles of 90.00, 90.00 and 90.00 degrees. The distinct sites, in fractional coordinates, are Tl at (0.000, 0.138, 0.250), Tl at (0.117, 0.244, 0.545), Tl at (0.145, 0.485, 0.250), Te at (0.000, 0.500, 0.000), Te at (0.216, 0.221, 0.250) and Cl at (0.000, 0.000, 0.000).

***

Entry from Alexandria via LeMat-Bulk: an optimized crystal structure of Tl2TeCl (GGA-PBE).

For the density of states at the Fermi level, the calculation gives 4.31 states/eV/f.u. The value obtained for the formation energy without anion corrections is -0.395 eV per atom.

The space group is I-42d (No. 122) and the conventional cell measures 8.158, 8.158 and 9.123 Å, with angles of 90.00, 90.00 and 90.00 degrees. The distinct sites, in fractional coordinates, are Tl at (0.242, 0.250, 0.125), Te at (0.000, 0.000, 0.500) and Cl at (0.000, 0.000, 0.000).

***

Entry from Alexandria via LeMat-Bulk: an optimized crystal structure of Tl4Te5Cl (GGA-PBE).

For the density of states at the Fermi level, the calculation gives 4.21 states/eV/f.u. The value obtained for the formation energy without anion corrections is -0.270 eV per atom.

The space group is Immm (No. 71) and the conventional cell measures 4.737, 11.715 and 12.439 Å, with angles of 90.00, 90.00 and 90.00 degrees. The distinct sites, in fractional coordinates, are Tl at (0.000, 0.000, 0.186), Tl at (0.000, 0.239, 0.500), Te at (0.000, 0.312, 0.179), Te at (0.000, 0.500, 0.000) and Cl at (0.000, 0.500, 0.500).

***

Entry from Alexandria via LeMat-Bulk: an optimized crystal structure of Tl2TeCl4 (GGA-PBE).

For the density of states at the Fermi level, the calculation gives 0.00 states/eV/f.u. The value obtained for the formation energy without anion corrections is -0.772 eV per atom.

The space group is I4/mmm (No. 139) and the conventional cell measures 7.505, 7.505 and 8.503 Å, with angles of 90.00, 90.00 and 90.00 degrees. The distinct sites, in fractional coordinates, are Tl at (0.000, 0.500, 0.250), Te at (0.000, 0.000, 0.000) and Cl at (0.247, 0.247, 0.000).

***

Entry from Alexandria via LeMat-Bulk: an optimized crystal structure of Tl2TeCl (GGA-PBE).

For the density of states at the Fermi level, the calculation gives 1.95 states/eV/f.u. The value obtained for the formation energy without anion corrections is -0.489 eV per atom.

The space group is C2/m (No. 12) and the conventional cell measures 8.233, 8.223 and 3.648 Å, with angles of 90.00, 90.20 and 90.00 degrees. The distinct sites, in fractional coordinates, are Tl at (0.250, 0.250, 0.000), Te at (0.000, 0.000, 0.500) and Cl at (0.000, 0.500, 0.500).

***

Entry from Alexandria via LeMat-Bulk: an optimized crystal structure of Tl2TeCl6 (GGA-PBE).

For the density of states at the Fermi level, the calculation gives 0.00 states/eV/f.u. The value obtained for the formation energy without anion corrections is -0.814 eV per atom.

The space group is Fm-3m (No. 225) and the conventional cell measures 10.346, 10.346 and 10.346 Å, with angles of 90.00, 90.00 and 90.00 degrees. The distinct sites, in fractional coordinates, are Tl at (0.250, 0.250, 0.250), Te at (0.000, 0.000, 0.000) and Cl at (0.000, 0.000, 0.247).

***

Entry from Alexandria via LeMat-Bulk: an optimized crystal structure of Tl3TeCl6 (GGA-PBE).

For the density of states at the Fermi level, the calculation gives 0.47 states/eV/f.u. The value obtained for the formation energy without anion corrections is -0.791 eV per atom.

The space group is P2_1/c (No. 14) and the conventional cell measures 7.397, 7.968 and 13.720 Å, with angles of 90.00, 118.92 and 90.00 degrees. The distinct sites, in fractional coordinates, are Tl at (0.000, 0.000, 0.000), Tl at (0.272, 0.085, 0.768), Te at (0.500, 0.000, 0.500), Cl at (0.119, 0.052, 0.248), Cl at (0.274, 0.653, 0.067) and Cl at (0.404, 0.215, 0.050).

***

Entry from Alexandria via LeMat-Bulk: an optimized crystal structure of Tl2TeCl (GGA-PBE).

For the density of states at the Fermi level, the calculation gives 0.82 states/eV/f.u. The value obtained for the formation energy without anion corrections is -0.407 eV per atom.

The space group is P4mm (No. 99) and the conventional cell measures 3.655, 3.655 and 10.513 Å, with angles of 90.00, 90.00 and 90.00 degrees. The distinct sites, in fractional coordinates, are Tl at (0.000, 0.000, 0.000), Tl at (0.500, 0.500, 0.316), Te at (0.500, 0.500, 0.798) and Cl at (0.000, 0.000, 0.456).

***

Entry from Alexandria via LeMat-Bulk: an optimized crystal structure of Tl2TeCl (GGA-PBE).

For the density of states at the Fermi level, the calculation gives 0.78 states/eV/f.u. The value obtained for the formation energy without anion corrections is -0.520 eV per atom.

The space group is Pmmm (No. 47) and the conventional cell measures 3.475, 3.999 and 8.951 Å, with angles of 90.00, 90.00 and 90.00 degrees. The distinct sites, in fractional coordinates, are Tl at (0.000, 0.000, 0.222), Te at (0.500, 0.500, 0.500) and Cl at (0.500, 0.500, 0.000).

***

Entry from Alexandria via LeMat-Bulk: an optimized crystal structure of Tl2TeCl (GGA-PBE).

For the density of states at the Fermi level, the calculation gives 2.35 states/eV/f.u. The value obtained for the formation energy without anion corrections is -0.279 eV per atom.

The space group is F-43m (No. 216) and the conventional cell measures 7.807, 7.807 and 7.807 Å, with angles of 90.00, 90.00 and 90.00 degrees. The distinct sites, in fractional coordinates, are Tl at (0.000, 0.000, 0.000), Tl at (0.250, 0.250, 0.250), Te at (0.250, 0.250, 0.750) and Cl at (0.000, 0.000, 0.500).

***

Entry from Alexandria via LeMat-Bulk: an optimized crystal structure of TlTe4Cl (GGA-PBE).

For the density of states at the Fermi level, the calculation gives 9.78 states/eV/f.u. The value obtained for the formation energy without anion corrections is 0.006 eV per atom.

The space group is F-43m (No. 216) and the conventional cell measures 9.067, 9.067 and 9.067 Å, with angles of 90.00, 90.00 and 90.00 degrees. The distinct sites, in fractional coordinates, are Tl at (0.000, 0.000, 0.000), Te at (0.124, 0.124, 0.376) and Cl at (0.250, 0.250, 0.750).

***

Entry from Alexandria via LeMat-Bulk: an optimized crystal structure of Tl8Te4Cl (GGA-PBE).

For the density of states at the Fermi level, the calculation gives 6.28 states/eV/f.u. The value obtained for the formation energy without anion corrections is -0.337 eV per atom.

The space group is R-3m (No. 166, hexagonal axes) and the conventional cell measures 9.5864, 9.5864 and 19.2030 Å, with angles of 90.00, 90.00 and 120.00 degrees. The distinct sites, in fractional coordinates, are Tl at (0.0000, 0.0000, 0.2434), Tl at (0.0010, 0.5005, 0.2424), Te at (0.0000, 0.0000, 0.0000), Te at (0.0000, 0.5000, 0.0000) and Cl at (0.0000, 0.0000, 0.5000).

***

Entry from Alexandria via LeMat-Bulk: an optimized crystal structure of Tl2Te2Cl (GGA-PBE).

For the density of states at the Fermi level, the calculation gives 1.94 states/eV/f.u. The value obtained for the formation energy without anion corrections is -0.300 eV per atom.

The space group is P4/mbm (No. 127) and the conventional cell measures 8.481, 8.481 and 5.348 Å, with angles of 90.00, 90.00 and 90.00 degrees. The distinct sites, in fractional coordinates, are Tl at (0.196, 0.304, 0.000), Te at (0.113, 0.613, 0.500) and Cl at (0.000, 0.000, 0.000).

***

no.,size of the total moment (μB per formula unit),total DFT energy (no corrections) (eV per cell)
1,0.00,-29.6
2,0.00,-27.0
3,0.00,-11.9
4,0.00,-23.8
5,0.00,-28.5
6,0.00,-52.5
7,0.00,-23.9
8,0.00,-126.8
9,0.00,-45.2
10,0.00,-59.4
11,0.00,-41.3
12,0.00,-23.4
13,0.00,-105.1
14,1.03,-58.5
15,0.00,-11.3
16,0.00,-11.8
17,0.00,-43.4
18,0.00,-67.0
19,0.00,-113.2
20,0.94,-28.7